## Ni2RhSe (GGA-PBE)

Data for a relaxed Ni2RhSe crystal.

abc: 4.9356 4.9356 4.9356
angles: 145.03 128.83 63.48
Positions (direct):
Rh 0.7500 0.2500 0.5000
Ni 0.0265 0.0265 0.0000
Ni 0.4735 0.4735 0.0000
Se 0.2500 0.7500 0.5000

Values from the calculation:
Distance to the lowest polymorph of the same formula (meV per atom): 29.6
Final energy (eV per cell): -21.99
E_form (uncorrected) (meV/atom): 101

=====

## Ni2RhSe (GGA-PBE)

Data for a relaxed Ni2RhSe crystal.

abc: 3.8060 3.0091 4.9369
angles: 73.22 90.00 90.00
Positions (direct):
Rh 0.5000 0.2500 0.2500
Se 0.5000 0.7500 0.7500
Ni 0.0000 0.9006 0.9842
Ni 0.0000 0.5994 0.5158

Values from the calculation:
Distance to the lowest polymorph of the same formula (meV per atom): 43.2
Final energy (eV per cell): -21.94
E_form (uncorrected) (meV/atom): 115